Material: Y2TaW
Method: DFT, PBE-GGA
State: relaxed

The space group is Immm (No. 71) and the conventional cell measures 3.643, 4.620 and 10.557 Å, with angles of 90.00, 90.00 and 90.00 degrees. The distinct sites, in fractional coordinates, are Y at (0.000, 0.000, 0.218), Ta at (0.000, 0.500, 0.000) and W at (0.000, 0.500, 0.500).

The calculation puts the energy of formation from the pure elements at 0.5507 eV per atom. For the offset from the most stable computed form, the calculation gives 1.33 eV/f.u.

---

Material: AcLaCe2P4
Method: DFT, PBE-GGA
State: relaxed

The space group is P2/m (No. 10) and the conventional cell measures 7.311, 4.220 and 7.333 Å, with angles of 90.00, 109.40 and 90.00 degrees. The distinct sites, in fractional coordinates, are Ac at (0.000, 0.000, 0.000), La at (0.500, 0.500, 0.000), Ce at (0.000, 0.500, 0.500), Ce at (0.500, 0.000, 0.500), P at (0.250, 0.000, 0.734) and P at (0.262, 0.500, 0.270).

The calculation puts the energy of formation from the pure elements at -1.4911 eV per atom.

---

Material: RbCaO2F
Method: DFT, PBE-GGA
State: relaxed

The space group is P4/mmm (No. 123) and the conventional cell measures 4.623, 4.623 and 4.564 Å, with angles of 90.00, 90.00 and 90.00 degrees. The distinct sites, in fractional coordinates, are Rb at (0.000, 0.000, 0.000), Ca at (0.500, 0.500, 0.500), O at (0.000, 0.500, 0.500) and F at (0.500, 0.500, 0.000).

For the raw formation energy, the calculation gives -1.81 eV per atom.

---

Material: NiGeN2
Method: DFT, PBE-GGA
State: relaxed

The space group is P6_3/mmc (No. 194) and the conventional cell measures 2.9215, 2.9215 and 10.2466 Å, with angles of 90.00, 90.00 and 120.00 degrees. The distinct sites, in fractional coordinates, are Ni at (0.0000, 0.0000, 0.0000), Ge at (0.3333, 0.6667, 0.2500) and N at (0.3333, 0.6667, 0.6222).

For the raw formation energy, the calculation gives 0.69 eV per atom.

---

Material: TmZr2Nb
Method: DFT, PBE-GGA
State: relaxed

The space group is R3m (No. 160, hexagonal axes) and the conventional cell measures 3.2551, 3.2551 and 30.6236 Å, with angles of 90.00, 90.00 and 120.00 degrees. The distinct sites, in fractional coordinates, are Tm at (0.0000, 0.0000, 0.0000), Zr at (0.0000, 0.0000, 0.5763), Zr at (0.0000, 0.0000, 0.7576) and Nb at (0.0000, 0.0000, 0.1670).

The calculation puts the energy of formation from the pure elements at 0.1997 eV per atom. For the offset from the most stable computed form, the calculation gives 0.46 eV/f.u.

---

Material: FeHgPb2
Method: DFT, PBE-GGA
State: relaxed

The space group is P4/mmm (No. 123) and the conventional cell measures 3.302, 3.302 and 9.296 Å, with angles of 90.00, 90.00 and 90.00 degrees. The distinct sites, in fractional coordinates, are Fe at (0.000, 0.000, 0.000), Hg at (0.000, 0.000, 0.500) and Pb at (0.500, 0.500, 0.198).

The calculation puts the energy of formation from the pure elements at 0.3373 eV per atom.

---

Number 1: final energy -71.06 eV/cell, calculated volume 178 Å³ per cell. Number 2: final energy -54.47 eV/cell, calculated volume 213 Å³ per cell. Number 3: final energy -23.80 eV/cell, calculated volume 98 Å³ per cell. Number 4: final energy -48.59 eV/cell, calculated volume 76 Å³ per cell. Number 5: final energy -92.52 eV/cell, calculated volume 281 Å³ per cell. Number 6: final energy -14.83 eV/cell, calculated volume 101 Å³ per cell.